The following is a PBE-GGA calculation of an optimized crystal structure of CsCdInCl4, from the Alexandria database.

Results
D(E_F): 0.0 states/eV/f.u.
ΔE_f (raw): -1.28 eV/atom

extended XYZ file:
```
14
Lattice="8.057 0.000 0.000 0.000 7.542 0.000 -3.192 0.000 8.881" Properties=species:S:1:pos:R:3 pbc="T T T"
Cs 0.422 1.885 4.099
Cs 4.442 5.656 4.782
Cd 1.320 5.656 1.630
Cd 3.545 1.885 7.251
In -0.769 1.885 8.686
In 5.634 5.656 0.195
Cl -2.759 5.656 8.187
Cl -0.471 5.656 3.341
Cl 2.877 0.041 2.088
Cl 2.877 3.729 2.088
Cl 1.988 3.812 6.793
Cl 1.988 7.500 6.793
Cl 5.336 1.885 5.540
Cl 7.624 1.885 0.694
```